(1)
# CuHg2Ir (PBE, optimized geometry)
# - volume (Å³/cell) = 69.6
# - formation enthalpy at 0 K (eV per atom) = 0.421
# - total energy (eV/atom) = -2.969
data_CuHg2Ir
_symmetry_space_group_name_H-M 'P 1'
_symmetry_Int_Tables_number 1
_symmetry_space_group_name_Hall 'P 1'
_cell_length_a 9.205
_cell_length_b 9.205
_cell_length_c 9.205
_cell_angle_alpha 18.64
_cell_angle_beta 18.64
_cell_angle_gamma 18.64
loop_
_atom_site_label
_atom_site_type_symbol
_atom_site_fract_x
_atom_site_fract_y
_atom_site_fract_z
Hg1 Hg 0.002 0.002 0.002
Hg2 Hg 0.498 0.498 0.498
Cu1 Cu 0.750 0.750 0.750
Ir1 Ir 0.250 0.250 0.250

(2)
# CuHg2Ir (PBE, optimized geometry)
# - volume (Å³/cell) = 70.3
# - formation enthalpy at 0 K (eV per atom) = 0.380
# - total energy (eV/atom) = -3.011
data_CuHg2Ir
_symmetry_space_group_name_H-M 'P 1'
_symmetry_Int_Tables_number 1
_symmetry_space_group_name_Hall 'P 1'
_cell_length_a 5.636
_cell_length_b 5.636
_cell_length_c 5.636
_cell_angle_alpha 148.35
_cell_angle_beta 131.05
_cell_angle_gamma 59.48
loop_
_atom_site_label
_atom_site_type_symbol
_atom_site_fract_x
_atom_site_fract_y
_atom_site_fract_z
Hg1 Hg 0.736 0.236 0.500
Hg2 Hg 0.013 0.013 0.000
Ir1 Ir 0.483 0.483 0.000
Cu1 Cu 0.269 0.769 0.500

(3)
# CuHg2Ir (PBE, optimized geometry)
# - volume (Å³/cell) = 71.8
# - formation enthalpy at 0 K (eV per atom) = 0.373
# - total energy (eV/atom) = -3.017
data_CuHg2Ir
_symmetry_space_group_name_H-M 'P 1'
_symmetry_Int_Tables_number 1
_symmetry_space_group_name_Hall 'P 1'
_cell_length_a 4.362
_cell_length_b 3.160
_cell_length_c 5.509
_cell_angle_alpha 70.92
_cell_angle_beta 90.00
_cell_angle_gamma 90.00
loop_
_atom_site_label
_atom_site_type_symbol
_atom_site_fract_x
_atom_site_fract_y
_atom_site_fract_z
Cu1 Cu 0.500 0.545 0.762
Ir1 Ir 0.000 0.709 0.481
Hg1 Hg 0.500 0.299 0.316
Hg2 Hg 0.000 0.947 0.941

(4)
# Cu2HgIr (PBE, optimized geometry)
# - volume (Å³/cell) = 59.1
# - formation enthalpy at 0 K (eV per atom) = 0.277
# - total energy (eV/atom) = -4.061
data_Cu2HgIr
_symmetry_space_group_name_H-M 'P 1'
_symmetry_Int_Tables_number 1
_symmetry_space_group_name_Hall 'P 1'
_cell_length_a 5.008
_cell_length_b 5.008
_cell_length_c 4.490
_cell_angle_alpha 69.56
_cell_angle_beta 69.56
_cell_angle_gamma 34.30
loop_
_atom_site_label
_atom_site_type_symbol
_atom_site_fract_x
_atom_site_fract_y
_atom_site_fract_z
Cu1 Cu 0.263 0.263 0.273
Cu2 Cu 0.991 0.991 0.969
Hg1 Hg 0.508 0.508 0.460
Ir1 Ir 0.738 0.738 0.798

Calculated values (meV/atom) of offset from the most stable computed form for the records, taken in order: 80.7; 39.6; 33.0; 37.9.